[1]
Material: CeNdLuPb
Method: DFT, PBE
State: relaxed

Lattice parameters (Å, degrees): 5.4740 5.4740 5.4740 60.00 60.00 60.00
Fractional coordinates of all 4 atoms:
Ce 0.0000 0.0000 0.0000
Nd 0.7500 0.7500 0.7500
Lu 0.2500 0.2500 0.2500
Pb 0.5000 0.5000 0.5000

Output
Uncorrected energy   -4.7744 eV/atom
Space group   F-43m, No. 216
E_form   -0.042 eV/atom
Magnetization   0.5 μB/f.u.

***

[2]
Material: BaPr3Pt
Method: DFT, PBE
State: relaxed

Lattice parameters (Å, degrees): 5.8419 5.8419 5.8419 90.00 90.00 90.00
Fractional coordinates of all 5 atoms:
Ba 0.0000 0.0000 0.0000
Pr 0.0000 0.5000 0.5000
Pr 0.5000 0.0000 0.5000
Pr 0.5000 0.5000 0.0000
Pt 0.5000 0.5000 0.5000

Output
Uncorrected energy   -4.7650 eV/atom
Space group   Pm-3m, No. 221
E_form   -0.305 eV/atom
Magnetization   0.0 μB/f.u.

***

[3]
Material: Li2AgI3
Method: DFT, PBE
State: relaxed

Lattice parameters (Å, degrees): 7.9575 7.9575 7.9641 99.72 99.72 120.00
Fractional coordinates of all 12 atoms:
Li 0.0822 0.9178 0.5000
Li 0.2553 0.7558 0.0031
Li 0.7558 0.2553 0.5031
Li 0.9178 0.0822 0.0000
Ag 0.4174 0.5887 0.5028
Ag 0.5887 0.4174 0.0028
I 0.1209 0.6321 0.6314
I 0.2858 0.4588 0.1199
I 0.4588 0.2858 0.6199
I 0.6321 0.1209 0.1314
I 0.8023 0.9704 0.6290
I 0.9704 0.8023 0.1290

Output
Uncorrected energy   -2.7838 eV/atom
Space group   Cc, No. 9
E_form (uncorrected)   -20.7 kcal/mol of atoms
Magnetization   0.0 μB/f.u.

***

[4]
Material: Zr2BeOs2
Method: DFT, PBE
State: relaxed

Lattice parameters (Å, degrees): 8.1268 8.1268 8.1268 155.10 155.10 35.51
Fractional coordinates of all 5 atoms:
Zr 0.0991 0.0991 0.0000
Zr 0.9009 0.9009 0.0000
Be 0.5000 0.5000 0.0000
Os 0.2500 0.7500 0.5000
Os 0.7500 0.2500 0.5000

Output
Uncorrected energy   -8.2390 eV/atom
Space group   I4/mmm, No. 139
E_form   0.417 eV/atom
Magnetization   0.3 μB/f.u.

***

[5]
Material: Ti5NbPd2Rh2
Method: DFT, PBE
State: relaxed

Lattice parameters (Å, degrees): 10.0536 10.0536 3.3435 90.00 90.00 90.00
Fractional coordinates of all 20 atoms:
Ti 0.0000 0.5000 0.0000
Ti 0.0972 0.1858 0.0000
Ti 0.1858 0.9028 0.0000
Ti 0.3142 0.4028 0.0000
Ti 0.4028 0.6858 0.0000
Ti 0.5000 0.0000 0.0000
Ti 0.5972 0.3142 0.0000
Ti 0.6858 0.5972 0.0000
Ti 0.8142 0.0972 0.0000
Ti 0.9028 0.8142 0.0000
Nb 0.0000 0.0000 0.5000
Nb 0.5000 0.5000 0.5000
Pd 0.1662 0.6662 0.5000
Pd 0.3338 0.1662 0.5000
Pd 0.6662 0.8338 0.5000
Pd 0.8338 0.3338 0.5000
Rh 0.1296 0.3704 0.5000
Rh 0.3704 0.8704 0.5000
Rh 0.6296 0.1296 0.5000
Rh 0.8704 0.6296 0.5000

Output
Uncorrected energy   -7.6807 eV/atom
Space group   P4/mbm, No. 127
E_form   -0.217 eV/atom
Magnetization   0.0 μB/f.u.

***

[6]
Material: RePt3
Method: DFT, PBE
State: relaxed

Lattice parameters (Å, degrees): 4.8476 4.8476 4.8476 90.00 90.00 90.00
Fractional coordinates of all 4 atoms:
Re 0.0000 0.0000 0.0000
Pt 0.0000 0.0000 0.5000
Pt 0.0000 0.5000 0.0000
Pt 0.5000 0.0000 0.0000

Output
Uncorrected energy   -6.0308 eV/atom
Space group   Pm-3m, No. 221
E_form   1.612 eV/atom
Magnetization   0.0 μB/f.u.

***

[7]
Material: LiTl2Ru2O6
Method: DFT, PBE
State: relaxed

Lattice parameters (Å, degrees): 5.1190 5.1190 6.5857 95.29 95.29 116.05
Fractional coordinates of all 11 atoms:
Li 0.0000 0.0000 0.0000
Tl 0.1741 0.8259 0.5000
Tl 0.8259 0.1741 0.5000
Ru 0.3511 0.6489 0.0000
Ru 0.6489 0.3511 0.0000
O 0.0303 0.3880 0.1519
O 0.3133 0.3133 0.8009
O 0.3880 0.0303 0.1519
O 0.6120 0.9697 0.8481
O 0.6867 0.6867 0.1991
O 0.9697 0.6120 0.8481

Output
Uncorrected energy   -5.9478 eV/atom
Space group   C2/m, No. 12
E_form (uncorrected)   -22.0 kcal/mol of atoms
Magnetization   0.8 μB/f.u.

***

[8]
Material: Sm2Ga5Pd5
Method: DFT, PBE
State: relaxed

Lattice parameters (Å, degrees): 4.3138 5.3616 9.4395 90.00 90.00 90.00
Fractional coordinates of all 12 atoms:
Sm 0.0000 0.0000 0.0000
Sm 0.0000 0.5000 0.5000
Ga 0.5000 0.0000 0.5000
Ga 0.5000 0.2456 0.2361
Ga 0.5000 0.2456 0.7639
Ga 0.5000 0.7544 0.2361
Ga 0.5000 0.7544 0.7639
Pd 0.0000 0.0000 0.3369
Pd 0.0000 0.0000 0.6631
Pd 0.0000 0.5000 0.1887
Pd 0.0000 0.5000 0.8113
Pd 0.5000 0.5000 0.0000

Output
Uncorrected energy   -4.9730 eV/atom
Space group   Pmmm, No. 47
E_form   -0.762 eV/atom
Magnetization   0.0 μB/f.u.

***

[9]
Material: BPdI2O
Method: DFT, PBE
State: relaxed

Lattice parameters (Å, degrees): 5.5873 5.5873 3.8923 90.00 90.00 90.00
Fractional coordinates of all 5 atoms:
B 0.0000 0.0000 0.0000
Pd 0.5000 0.5000 0.5000
I 0.0000 0.5000 0.5000
I 0.5000 0.0000 0.5000
O 0.5000 0.5000 0.0000

Output
Uncorrected energy   -3.1173 eV/atom
Space group   P4/mmm, No. 123
E_form (uncorrected)   20.0 kcal/mol of atoms
Magnetization   1.1 μB/f.u.

***

[10]
Material: AcNi12
Method: DFT, PBE
State: relaxed

Lattice parameters (Å, degrees): 6.3961 6.3961 6.3961 97.83 97.83 136.68
Fractional coordinates of all 13 atoms:
Ac 0.0000 0.0000 0.0000
Ni 0.0000 0.0000 0.5000
Ni 0.0000 0.3571 0.3571
Ni 0.0000 0.5000 0.0000
Ni 0.0000 0.6429 0.6429
Ni 0.2586 0.5000 0.7586
Ni 0.3571 0.0000 0.3571
Ni 0.5000 0.0000 0.0000
Ni 0.5000 0.2586 0.7586
Ni 0.5000 0.5000 0.5000
Ni 0.5000 0.7414 0.2414
Ni 0.6429 0.0000 0.6429
Ni 0.7414 0.5000 0.2414

Output
Uncorrected energy   -5.7000 eV/atom
Space group   I4/mmm, No. 139
E_form   -0.047 eV/atom
Magnetization   5.5 μB/f.u.

***

[11]
Material: K5As
Method: DFT, PBE
State: relaxed

Lattice parameters (Å, degrees): 4.6570 4.6570 14.0244 90.00 90.00 90.00
Fractional coordinates of all 6 atoms:
K 0.0000 0.0000 0.0000
K 0.0000 0.0000 0.3928
K 0.0000 0.0000 0.6072
K 0.5000 0.5000 0.2363
K 0.5000 0.5000 0.7637
As 0.5000 0.5000 0.5000

Output
Uncorrected energy   -1.7342 eV/atom
Space group   P4/mmm, No. 123
E_form   -0.045 eV/atom
Magnetization   0.6 μB/f.u.

***

[12]
Material: BaIn3Sn2
Method: DFT, PBE
State: relaxed

Lattice parameters (Å, degrees): 7.4287 7.4287 6.9840 90.00 90.00 85.24
Fractional coordinates of all 12 atoms:
Ba 0.1683 0.8317 0.7500
Ba 0.8317 0.1683 0.2500
In 0.0753 0.6201 0.2500
In 0.3799 0.9247 0.2500
In 0.4836 0.5164 0.2500
In 0.5164 0.4836 0.7500
In 0.6201 0.0753 0.7500
In 0.9247 0.3799 0.7500
Sn 0.2609 0.2609 0.0000
Sn 0.2609 0.2609 0.5000
Sn 0.7391 0.7391 0.0000
Sn 0.7391 0.7391 0.5000

Output
Uncorrected energy   -3.2180 eV/atom
Space group   Cmcm, No. 63
E_form   -0.194 eV/atom
Magnetization   0.0 μB/f.u.

***

[13]
Material: Ac2ErSb4Rh3
Method: DFT, PBE
State: relaxed

Lattice parameters (Å, degrees): 4.6142 4.6142 11.6685 90.00 90.00 90.00
Fractional coordinates of all 10 atoms:
Ac 0.0000 0.5000 0.2299
Ac 0.5000 0.0000 0.7701
Er 0.0000 0.0000 0.5000
Sb 0.0000 0.0000 0.0000
Sb 0.0000 0.5000 0.6556
Sb 0.5000 0.0000 0.3444
Sb 0.5000 0.5000 0.0000
Rh 0.0000 0.5000 0.8858
Rh 0.5000 0.0000 0.1142
Rh 0.5000 0.5000 0.5000

Output
Uncorrected energy   -5.9975 eV/atom
Space group   P-4m2, No. 115
E_form (uncorrected)   -20.0 kcal/mol of atoms
Magnetization   0.0 μB/f.u.

***

[14]
Material: In3AgSe4
Method: DFT, PBE
State: relaxed

Lattice parameters (Å, degrees): 7.7052 7.7052 7.7052 130.90 130.90 71.98
Fractional coordinates of all 8 atoms:
In 0.0000 0.0000 0.0000
In 0.2500 0.7500 0.5000
In 0.7500 0.2500 0.5000
Ag 0.5000 0.5000 0.0000
Se 0.1259 0.1259 0.4964
Se 0.3705 0.8741 0.0000
Se 0.6295 0.6295 0.5036
Se 0.8741 0.3705 0.0000

Output
Uncorrected energy   -3.4818 eV/atom
Space group   I-42m, No. 121
E_form (uncorrected)   -8.2 kcal/mol of atoms
Magnetization   0.0 μB/f.u.

***

[15]
Material: KErFeCl6
Method: DFT, PBE
State: relaxed

Lattice parameters (Å, degrees): 6.4750 6.4750 7.0900 90.03 90.03 120.01
Fractional coordinates of all 9 atoms:
K 0.0000 0.0000 0.0000
Er 0.6665 0.3335 0.5000
Fe 0.3332 0.6668 0.5000
Cl 0.0284 0.6485 0.3000
Cl 0.0289 0.3805 0.6998
Cl 0.3510 0.3800 0.3000
Cl 0.3515 0.9716 0.7000
Cl 0.6195 0.9711 0.3002
Cl 0.6200 0.6490 0.7000

Output
Uncorrected energy   -4.3704 eV/atom
Space group   C2, No. 5
E_form (uncorrected)   -36.2 kcal/mol of atoms
Magnetization   0.1 μB/f.u.

***

[16]
Material: Pm3Se3O
Method: DFT, PBE
State: relaxed

Lattice parameters (Å, degrees): 7.3205 7.3205 7.1731 95.67 95.67 111.56
Fractional coordinates of all 14 atoms:
Pm 0.0947 0.0947 0.3108
Pm 0.1657 0.4638 0.7883
Pm 0.4638 0.1657 0.7883
Pm 0.5362 0.8343 0.2117
Pm 0.8343 0.5362 0.2117
Pm 0.9053 0.9053 0.6892
Se 0.1622 0.8378 0.0000
Se 0.2401 0.7599 0.5000
Se 0.3887 0.3887 0.1525
Se 0.6113 0.6113 0.8475
Se 0.7599 0.2401 0.5000
Se 0.8378 0.1622 0.0000
O 0.1812 0.1812 0.6324
O 0.8188 0.8188 0.3676

Output
Uncorrected energy   -6.3724 eV/atom
Space group   C2/m, No. 12
E_form (uncorrected)   -49.2 kcal/mol of atoms
Magnetization   0.0 μB/f.u.

***

[17]
Material: KNiSbAu
Method: DFT, PBE
State: relaxed

Lattice parameters (Å, degrees): 3.8959 3.8959 13.5177 90.00 90.00 90.00
Fractional coordinates of all 8 atoms:
K 0.2500 0.2500 0.2088
K 0.7500 0.7500 0.7912
Ni 0.2500 0.7500 0.5000
Ni 0.7500 0.2500 0.5000
Sb 0.2500 0.2500 0.6206
Sb 0.7500 0.7500 0.3794
Au 0.2500 0.7500 0.0000
Au 0.7500 0.2500 0.0000

Output
Uncorrected energy   -3.7710 eV/atom
Space group   P4/nmm, No. 129
E_form (uncorrected)   -4.6 kcal/mol of atoms
Magnetization   0.0 μB/f.u.

***

[18]
Material: KSrMnBr2
Method: DFT, PBE
State: relaxed

Lattice parameters (Å, degrees): 5.9627 5.9627 6.5440 90.00 90.00 90.00
Fractional coordinates of all 5 atoms:
K 0.0000 0.0000 0.0000
Sr 0.5000 0.5000 0.5000
Mn 0.5000 0.5000 0.0000
Br 0.0000 0.5000 0.5000
Br 0.5000 0.0000 0.5000

Output
Uncorrected energy   -3.6234 eV/atom
Space group   P4/mmm, No. 123
E_form (uncorrected)   -13.0 kcal/mol of atoms
Magnetization   4.2 μB/f.u.

***

[19]
Material: Ga12Hg5As3
Method: DFT, PBE
State: relaxed

Lattice parameters (Å, degrees): 13.8301 13.8301 13.8301 109.47 109.47 109.47
Fractional coordinates of all 80 atoms:
Ga 0.0708 0.2335 0.1449
Ga 0.0708 0.3373 0.9259
Ga 0.0741 0.6449 0.4114
Ga 0.0741 0.9292 0.6627
Ga 0.0886 0.7335 0.6627
Ga 0.0886 0.8551 0.4259
Ga 0.1449 0.0708 0.2335
Ga 0.1449 0.5741 0.9114
Ga 0.1627 0.2335 0.5886
Ga 0.1627 0.4292 0.5741
Ga 0.2335 0.1449 0.0708
Ga 0.2335 0.5886 0.1627
Ga 0.2665 0.3373 0.9114
Ga 0.2665 0.4292 0.3551
Ga 0.3373 0.9114 0.2665
Ga 0.3373 0.9259 0.0708
Ga 0.3551 0.2665 0.4292
Ga 0.3551 0.5886 0.9259
Ga 0.4114 0.0741 0.6449
Ga 0.4114 0.8373 0.7665
Ga 0.4259 0.0886 0.8551
Ga 0.4259 0.8373 0.5708
Ga 0.4292 0.3551 0.2665
Ga 0.4292 0.5741 0.1627
Ga 0.5708 0.4259 0.8373
Ga 0.5708 0.6449 0.7335
Ga 0.5741 0.1627 0.4292
Ga 0.5741 0.9114 0.1449
Ga 0.5886 0.1627 0.2335
Ga 0.5886 0.9259 0.3551
Ga 0.6449 0.4114 0.0741
Ga 0.6449 0.7335 0.5708
Ga 0.6627 0.0741 0.9292
Ga 0.6627 0.0886 0.7335
Ga 0.7335 0.5708 0.6449
Ga 0.7335 0.6627 0.0886
Ga 0.7665 0.4114 0.8373
Ga 0.7665 0.8551 0.9292
Ga 0.8373 0.5708 0.4259
Ga 0.8373 0.7665 0.4114
Ga 0.8551 0.4259 0.0886
Ga 0.8551 0.9292 0.7665
Ga 0.9114 0.1449 0.5741
Ga 0.9114 0.2665 0.3373
Ga 0.9259 0.0708 0.3373
Ga 0.9259 0.3551 0.5886
Ga 0.9292 0.6627 0.0741
Ga 0.9292 0.7665 0.8551
Hg 0.0000 0.0000 0.0000
Hg 0.0000 0.0000 0.5000
Hg 0.0000 0.5000 0.0000
Hg 0.0000 0.5000 0.5000
Hg 0.1250 0.7500 0.8750
Hg 0.1250 0.8750 0.2500
Hg 0.2500 0.1250 0.8750
Hg 0.2500 0.6250 0.3750
Hg 0.3750 0.2500 0.6250
Hg 0.3750 0.6250 0.7500
Hg 0.5000 0.0000 0.0000
Hg 0.5000 0.0000 0.5000
Hg 0.5000 0.5000 0.0000
Hg 0.5000 0.5000 0.5000
Hg 0.6250 0.3750 0.2500
Hg 0.6250 0.7500 0.3750
Hg 0.7500 0.3750 0.6250
Hg 0.7500 0.8750 0.1250
Hg 0.8750 0.1250 0.7500
Hg 0.8750 0.2500 0.1250
As 0.1250 0.2500 0.3750
As 0.1250 0.3750 0.7500
As 0.2500 0.3750 0.1250
As 0.2500 0.8750 0.6250
As 0.3750 0.1250 0.2500
As 0.3750 0.7500 0.1250
As 0.6250 0.2500 0.8750
As 0.6250 0.8750 0.7500
As 0.7500 0.1250 0.3750
As 0.7500 0.6250 0.8750
As 0.8750 0.6250 0.2500
As 0.8750 0.7500 0.6250

Output
Uncorrected energy   -2.4653 eV/atom
Space group   Ia-3d, No. 230
E_form   0.124 eV/atom
Magnetization   0.0 μB/f.u.